(1)
A plane-wave DFT calculation with PBE with a Hubbard U was carried out for a relaxed K6MnO4 crystal.

Cell and atoms, written as POSCAR:
```
K6MnO4
1.0
8.6842 0.0000 0.0000
-4.3421 7.5208 0.0000
0.0000 0.0000 6.6865
K Mn O
12 2 8
direct
0.0741 0.5370 0.0000 K
0.1438 0.2876 0.6700 K
0.1438 0.8562 0.6700 K
0.2876 0.1438 0.1700 K
0.4630 0.5370 0.0000 K
0.4630 0.9259 0.0000 K
0.5370 0.0741 0.5000 K
0.5370 0.4630 0.5000 K
0.7124 0.8562 0.6700 K
0.8562 0.1438 0.1700 K
0.8562 0.7124 0.1700 K
0.9259 0.4630 0.5000 K
0.3333 0.6667 0.3934 Mn
0.6667 0.3333 0.8934 Mn
0.1986 0.3972 0.2889 O
0.1986 0.8014 0.2889 O
0.3333 0.6667 0.7069 O
0.3972 0.1986 0.7889 O
0.6028 0.8014 0.2889 O
0.6667 0.3333 0.2069 O
0.8014 0.1986 0.7889 O
0.8014 0.6028 0.7889 O
```

Results
**Raw total energy**: -94.0 eV for the cell shown
**SG**: P6_3mc, No. 186
**Density**: 2.7 g/cm3
**Spin magnetization**: 5.00 μB per formula unit

---

(2)
A plane-wave DFT calculation with PBE with a Hubbard U was carried out for a relaxed K3MnO2 crystal.

Cell and atoms, written as POSCAR:
```
K3MnO2
1.0
4.9197 -4.1740 0.0000
4.9197 4.1740 0.0000
0.0000 0.0000 6.8925
K Mn O
6 2 4
direct
0.2306 0.7694 0.7500 K
0.3060 0.3060 0.0000 K
0.3060 0.3060 0.5000 K
0.6940 0.6940 0.0000 K
0.6940 0.6940 0.5000 K
0.7694 0.2306 0.2500 K
0.1525 0.8475 0.2500 Mn
0.8475 0.1525 0.7500 Mn
0.0000 0.0000 0.0000 O
0.0000 0.0000 0.5000 O
0.3895 0.6105 0.2500 O
0.6105 0.3895 0.7500 O
```

Results
**Raw total energy**: -53.0 eV for the cell shown
**DOS(E_F)**: 2.3 states/eV/cell
**SG**: Cmcm, No. 63
**Density**: 2.4 g/cm3
**Spin magnetization**: 4.43 μB per formula unit

---

(3)
A plane-wave DFT calculation with PBE with a Hubbard U was carried out for a relaxed K11Mn4O16 crystal.

Cell and atoms, written as POSCAR:
```
K11Mn4O16
1.0
-3.9300 3.9300 9.2324
3.9300 -3.9300 9.2324
3.9300 3.9300 -9.2324
K Mn O
11 4 16
direct
0.0000 0.0000 0.0000 K
0.0000 0.5000 0.5000 K
0.2105 0.2105 0.0000 K
0.2305 0.5607 0.0000 K
0.2500 0.7500 0.5000 K
0.4393 0.4393 0.6699 K
0.5000 0.0000 0.5000 K
0.5607 0.2305 0.0000 K
0.7500 0.2500 0.5000 K
0.7695 0.7695 0.3301 K
0.7895 0.7895 0.0000 K
0.1208 0.1208 0.4764 Mn
0.3556 0.8792 0.0000 Mn
0.6444 0.6444 0.5236 Mn
0.8792 0.3556 0.0000 Mn
0.0972 0.3979 0.2529 O
0.1449 0.8443 0.7471 O
0.1507 0.1507 0.6770 O
0.1557 0.9028 0.3006 O
0.2770 0.2770 0.6298 O
0.3528 0.7230 0.0000 O
0.3979 0.0972 0.2529 O
0.4737 0.4737 0.3230 O
0.5263 0.8493 0.0000 O
0.6021 0.8551 0.6994 O
0.6472 0.6472 0.3702 O
0.7230 0.3528 0.0000 O
0.8443 0.1449 0.7471 O
0.8493 0.5263 0.0000 O
0.8551 0.6021 0.6994 O
0.9028 0.1557 0.3006 O
```

Results
**Raw total energy**: -165.7 eV for the cell shown
**DOS(E_F)**: 14.3 states/eV/cell
**SG**: I-42m, No. 121
**Density**: 2.6 g/cm3
**Spin magnetization**: 7.00 μB per formula unit

---

(4)
A plane-wave DFT calculation with PBE with a Hubbard U was carried out for a relaxed K3Mn2O4 crystal.

Cell and atoms, written as POSCAR:
```
K3Mn2O4
1.0
5.9135 -4.5941 0.0000
5.9135 4.5941 0.0000
-0.0972 0.0000 5.8483
K Mn O
6 4 8
direct
0.1036 0.8964 0.7500 K
0.2466 0.5327 0.4591 K
0.4673 0.7534 0.0409 K
0.5327 0.2466 0.9591 K
0.7534 0.4673 0.5409 K
0.8964 0.1036 0.2500 K
0.0936 0.3245 0.9144 Mn
0.3245 0.0936 0.4144 Mn
0.6755 0.9064 0.5856 Mn
0.9064 0.6755 0.0856 Mn
0.1074 0.2341 0.5942 O
0.1764 0.5560 0.0027 O
0.2341 0.1074 0.0942 O
0.4440 0.8236 0.4973 O
0.5560 0.1764 0.5027 O
0.7659 0.8926 0.9058 O
0.8236 0.4440 0.9973 O
0.8926 0.7659 0.4058 O
```

Results
**Raw total energy**: -101.8 eV for the cell shown
**DOS(E_F)**: 4.9 states/eV/cell
**SG**: C2/c, No. 15
**Density**: 3.0 g/cm3
**Spin magnetization**: 9.00 μB per formula unit

---

(5)
A plane-wave DFT calculation with PBE with a Hubbard U was carried out for a relaxed K4MnO3 crystal.

Cell and atoms, written as POSCAR:
```
K4MnO3
1.0
6.3810 -3.2467 0.0000
6.3810 3.2467 0.0000
-3.9031 0.0000 8.6300
K Mn O
8 2 6
direct
0.1466 0.8534 0.5000 K
0.1828 0.6315 0.7755 K
0.4279 0.7552 0.1741 K
0.5846 0.9826 0.5528 K
0.6315 0.1828 0.2755 K
0.7552 0.4279 0.6741 K
0.8534 0.1466 0.0000 K
0.9826 0.5846 0.0528 K
0.0766 0.4035 0.3778 Mn
0.4035 0.0766 0.8778 Mn
0.0779 0.1081 0.3196 O
0.1081 0.0779 0.8196 O
0.3760 0.4041 0.5075 O
0.4041 0.3760 0.0075 O
0.7197 0.8307 0.8223 O
0.8307 0.7197 0.3223 O
```

Results
**Raw total energy**: -73.1 eV for the cell shown
**DOS(E_F)**: 2.6 states/eV/cell
**SG**: Cc, No. 9
**Density**: 2.4 g/cm3
**Spin magnetization**: 5.00 μB per formula unit

---

(6)
A plane-wave DFT calculation with PBE with a Hubbard U was carried out for a relaxed KMnO2 crystal.

Cell and atoms, written as POSCAR:
```
KMnO2
1.0
2.9619 0.0000 0.0000
-0.0088 5.7788 0.0000
-0.0002 -0.6057 6.9607
K Mn O
2 2 4
direct
0.2490 0.2309 0.3637 K
0.7510 0.7691 0.6363 K
0.2494 0.3027 0.8753 Mn
0.7506 0.6973 0.1247 Mn
0.2506 0.6951 0.9379 O
0.2508 0.7395 0.3098 O
0.7492 0.2605 0.6902 O
0.7494 0.3049 0.0621 O
```

Results
**Raw total energy**: -49.6 eV for the cell shown
**DOS(E_F)**: 0.0 states/eV/cell
**SG**: P-1, No. 2
**Density**: 3.5 g/cm3
**Spin magnetization**: 4.00 μB per formula unit

---

(7)
A plane-wave DFT calculation with PBE with a Hubbard U was carried out for a relaxed K2MnO2 crystal.

Cell and atoms, written as POSCAR:
```
K2MnO2
1.0
7.2066 0.0000 0.0000
0.0000 4.6781 0.0000
0.0000 0.0000 13.0318
K Mn O
8 4 8
direct
0.0280 0.2500 0.1159 K
0.1367 0.2500 0.5593 K
0.3633 0.7500 0.0593 K
0.4720 0.7500 0.6159 K
0.5280 0.2500 0.3841 K
0.6367 0.2500 0.9407 K
0.8633 0.7500 0.4407 K
0.9720 0.7500 0.8841 K
0.2452 0.7500 0.3162 Mn
0.2548 0.2500 0.8162 Mn
0.7452 0.7500 0.1838 Mn
0.7548 0.2500 0.6838 Mn
0.0147 0.7500 0.2317 O
0.2376 0.7500 0.4663 O
0.2624 0.2500 0.9663 O
0.4853 0.2500 0.7317 O
0.5147 0.7500 0.2683 O
0.7376 0.7500 0.0337 O
0.7624 0.2500 0.5337 O
0.9853 0.2500 0.7683 O
```

Results
**Raw total energy**: -103.7 eV for the cell shown
**DOS(E_F)**: 2.7 states/eV/cell
**SG**: Pnma, No. 62
**Density**: 2.5 g/cm3
**Spin magnetization**: 5.00 μB per formula unit

---

(8)
A plane-wave DFT calculation with PBE with a Hubbard U was carried out for a relaxed KMn2O2 crystal.

Cell and atoms, written as POSCAR:
```
KMn2O2
1.0
3.5891 0.0000 0.0000
0.0000 4.2455 0.0000
0.0000 0.0000 11.8569
K Mn O
2 4 4
direct
0.0000 0.0000 0.0000 K
0.5000 0.5000 0.5000 K
0.0000 0.0000 0.3023 Mn
0.0000 0.0000 0.6977 Mn
0.5000 0.5000 0.1977 Mn
0.5000 0.5000 0.8023 Mn
0.0000 0.5000 0.3045 O
0.0000 0.5000 0.6955 O
0.5000 0.0000 0.1955 O
0.5000 0.0000 0.8045 O
```

Results
**Raw total energy**: -63.7 eV for the cell shown
**DOS(E_F)**: 1.0 states/eV/cell
**SG**: Immm, No. 71
**Density**: 3.3 g/cm3
**Spin magnetization**: 9.59 μB per formula unit

---

(9)
A plane-wave DFT calculation with PBE with a Hubbard U was carried out for a relaxed KMnO2 crystal.

Cell and atoms, written as POSCAR:
```
KMnO2
1.0
5.9346 0.0000 0.0000
0.0000 5.9346 0.0000
0.0000 0.0000 5.9346
K Mn O
4 4 8
direct
0.0000 0.0000 0.0000 K
0.0000 0.5000 0.5000 K
0.5000 0.0000 0.5000 K
0.5000 0.5000 0.0000 K
0.0000 0.0000 0.5000 Mn
0.0000 0.5000 0.0000 Mn
0.5000 0.0000 0.0000 Mn
0.5000 0.5000 0.5000 Mn
0.2500 0.2500 0.2500 O
0.2500 0.2500 0.7500 O
0.2500 0.7500 0.2500 O
0.2500 0.7500 0.7500 O
0.7500 0.2500 0.2500 O
0.7500 0.2500 0.7500 O
0.7500 0.7500 0.2500 O
0.7500 0.7500 0.7500 O
```

Results
**Raw total energy**: -84.0 eV for the cell shown
**DOS(E_F)**: 17.0 states/eV/cell
**SG**: Fm-3m, No. 225
**Density**: 4.0 g/cm3
**Spin magnetization**: 4.00 μB per formula unit

---

(10)
A plane-wave DFT calculation with PBE with a Hubbard U was carried out for a relaxed KMnO crystal.

Cell and atoms, written as POSCAR:
```
KMnO
1.0
7.0939 0.0000 0.0000
0.0000 5.8557 0.0000
-3.1301 0.0000 5.9327
K Mn O
4 4 4
direct
0.1154 0.1734 0.3870 K
0.1154 0.3266 0.8870 K
0.8846 0.6734 0.1130 K
0.8846 0.8266 0.6130 K
0.4180 0.6721 0.6239 Mn
0.4180 0.8279 0.1239 Mn
0.5820 0.1721 0.8761 Mn
0.5820 0.3279 0.3761 Mn
0.3315 0.5769 0.2809 O
0.3315 0.9231 0.7809 O
0.6685 0.0769 0.2191 O
0.6685 0.4231 0.7191 O
```

Results
**Raw total energy**: -64.1 eV for the cell shown
**DOS(E_F)**: 3.9 states/eV/cell
**SG**: P2_1/c, No. 14
**Density**: 3.0 g/cm3
**Spin magnetization**: 4.30 μB per formula unit

---

(11)
A plane-wave DFT calculation with PBE with a Hubbard U was carried out for a relaxed K3Mn5O12 crystal.

Cell and atoms, written as POSCAR:
```
K3Mn5O12
1.0
-6.5108 6.5108 6.5108
6.5108 -6.5108 6.5108
6.5108 6.5108 -6.5108
K Mn O
12 20 48
direct
0.1250 0.2500 0.3750 K
0.1250 0.3750 0.7500 K
0.2500 0.3750 0.1250 K
0.2500 0.8750 0.6250 K
0.3750 0.1250 0.2500 K
0.3750 0.7500 0.1250 K
0.6250 0.2500 0.8750 K
0.6250 0.8750 0.7500 K
0.7500 0.1250 0.3750 K
0.7500 0.6250 0.8750 K
0.8750 0.6250 0.2500 K
0.8750 0.7500 0.6250 K
0.0000 0.0000 0.0000 Mn
0.0000 0.0000 0.5000 Mn
0.0000 0.5000 0.0000 Mn
0.0000 0.5000 0.5000 Mn
0.1250 0.7500 0.8750 Mn
0.1250 0.8750 0.2500 Mn
0.2500 0.1250 0.8750 Mn
0.2500 0.6250 0.3750 Mn
0.3750 0.2500 0.6250 Mn
0.3750 0.6250 0.7500 Mn
0.5000 0.0000 0.0000 Mn
0.5000 0.0000 0.5000 Mn
0.5000 0.5000 0.0000 Mn
0.5000 0.5000 0.5000 Mn
0.6250 0.3750 0.2500 Mn
0.6250 0.7500 0.3750 Mn
0.7500 0.3750 0.6250 Mn
0.7500 0.8750 0.1250 Mn
0.8750 0.1250 0.7500 Mn
0.8750 0.2500 0.1250 Mn
0.0062 0.6978 0.1114 O
0.0062 0.8084 0.8947 O
0.0864 0.6916 0.6978 O
0.0864 0.8947 0.3886 O
0.1053 0.6114 0.9136 O
0.1053 0.9938 0.1916 O
0.1114 0.0062 0.6978 O
0.1114 0.6053 0.4136 O
0.1916 0.1053 0.9938 O
0.1916 0.5864 0.1978 O
0.1978 0.1916 0.5864 O
0.1978 0.5062 0.6114 O
0.3022 0.8886 0.9938 O
0.3022 0.9136 0.3084 O
0.3084 0.3022 0.9136 O
0.3084 0.5062 0.3947 O
0.3886 0.0864 0.8947 O
0.3886 0.8022 0.4938 O
0.3947 0.3084 0.5062 O
0.3947 0.5864 0.8886 O
0.4136 0.1114 0.6053 O
0.4136 0.8022 0.8084 O
0.4938 0.3886 0.8022 O
0.4938 0.6053 0.6916 O
0.5062 0.3947 0.3084 O
0.5062 0.6114 0.1978 O
0.5864 0.1978 0.1916 O
0.5864 0.8886 0.3947 O
0.6053 0.4136 0.1114 O
0.6053 0.6916 0.4938 O
0.6114 0.1978 0.5062 O
0.6114 0.9136 0.1053 O
0.6916 0.4938 0.6053 O
0.6916 0.6978 0.0864 O
0.6978 0.0864 0.6916 O
0.6978 0.1114 0.0062 O
0.8022 0.4938 0.3886 O
0.8022 0.8084 0.4136 O
0.8084 0.4136 0.8022 O
0.8084 0.8947 0.0062 O
0.8886 0.3947 0.5864 O
0.8886 0.9938 0.3022 O
0.8947 0.0062 0.8084 O
0.8947 0.3886 0.0864 O
0.9136 0.1053 0.6114 O
0.9136 0.3084 0.3022 O
0.9938 0.1916 0.1053 O
0.9938 0.3022 0.8886 O
```

Results
**Raw total energy**: -501.0 eV for the cell shown
**DOS(E_F)**: 28.0 states/eV/cell
**SG**: Ia-3d, No. 230
**Density**: 3.5 g/cm3
**Spin magnetization**: 14.00 μB per formula unit

---

(12)
A plane-wave DFT calculation with PBE with a Hubbard U was carried out for a relaxed KMn3O crystal.

Cell and atoms, written as POSCAR:
```
KMn3O
1.0
4.7244 0.0000 0.0000
0.0000 4.7244 0.0000
0.0000 0.0000 4.7244
K Mn O
1 3 1
direct
0.0000 0.0000 0.0000 K
0.0000 0.5000 0.5000 Mn
0.5000 0.0000 0.5000 Mn
0.5000 0.5000 0.0000 Mn
0.5000 0.5000 0.5000 O
```

Results
**Raw total energy**: -26.9 eV for the cell shown
**DOS(E_F)**: 1.3 states/eV/cell
**SG**: Pm-3m, No. 221
**Density**: 3.5 g/cm3
**Spin magnetization**: 13.71 μB per formula unit